Crystalline Cs2In2Au5 at its relaxed geometry, computed with PBE-GGA.

- calculated volume (Å³/cell) = 332.9
- space-group type = P-1
- crystal system = triclinic
- formation energy from the elements (meV/atom) = -204

Unit cell a=4.8201 b=7.8415 c=9.1322 alpha=88.70 beta=74.76 gamma=89.84
Atoms (fractional coordinates):
Cs: 0.1246 0.1533 0.2491
Cs: 0.8754 0.8467 0.7509
In: 0.3520 0.3680 0.7962
In: 0.6480 0.6320 0.2038
Au: 0.2197 0.5773 0.0602
Au: 0.4712 0.1542 0.5565
Au: 0.5000 0.5000 0.5000
Au: 0.5288 0.8458 0.4435
Au: 0.7803 0.4227 0.9398